The following is a DFT calculation (PBE) of a relaxed structure of BaHgBr.

Values from the calculation:
Its space group is I4mm, No. 107. The total energy comes out at -14.0 eV/cell. Its energy above the lowest structure with this stoichiometry is 0.194 eV per atom. The raw formation energy comes out at -100 kJ per mole of atoms. The size of the total moment comes out at 0.000 μB per atom.

Geometry as CIF:
```
data_BaHgBr
_chemical_formula_sum 'Ba2 Hg2 Br2'
_cell_length_a 4.256
_cell_length_b 4.256
_cell_length_c 13.376
_cell_angle_alpha 90.00
_cell_angle_beta 90.00
_cell_angle_gamma 90.00
_space_group_name_H-M_alt 'P 1'
_space_group_IT_number 1
loop_
_space_group_symop_operation_xyz
'x,y,z'
loop_
_atom_site_label
_atom_site_type_symbol
_atom_site_fract_x
_atom_site_fract_y
_atom_site_fract_z
Ba1 Ba 0.000 0.000 0.000
Ba2 Ba 0.500 0.500 0.500
Hg1 Hg 0.000 0.000 0.347
Hg2 Hg 0.500 0.500 0.847
Br1 Br 0.000 0.000 0.613
Br2 Br 0.500 0.500 0.113
```

***

The following is a DFT calculation (PBE) of a relaxed structure of BaHgBr.

Values from the calculation:
Its space group is P3m1, No. 156. The total energy comes out at -7.0 eV/cell. Its energy above the lowest structure with this stoichiometry is 0.200 eV per atom. The raw formation energy comes out at -100 kJ per mole of atoms. The size of the total moment comes out at 0.000 μB per atom.

Geometry as CIF:
```
data_BaHgBr
_chemical_formula_sum 'Ba1 Hg1 Br1'
_cell_length_a 5.541
_cell_length_b 5.541
_cell_length_c 4.615
_cell_angle_alpha 90.00
_cell_angle_beta 90.00
_cell_angle_gamma 120.00
_space_group_name_H-M_alt 'P 1'
_space_group_IT_number 1
loop_
_space_group_symop_operation_xyz
'x,y,z'
loop_
_atom_site_label
_atom_site_type_symbol
_atom_site_fract_x
_atom_site_fract_y
_atom_site_fract_z
Ba1 Ba 0.000 0.000 0.000
Hg1 Hg 0.333 0.667 0.501
Br1 Br 0.667 0.333 0.000
```